Run a
# TlPb4F8

A relaxed structure of TlPb4F8 (PBE, Alexandria via LeMat-Bulk).

Values from the calculation:
As for the symmetry: F-43m.

Lattice parameters (Å, degrees): 7.8616 7.8616 7.8616 60.00 60.00 60.00
Fractional coordinates of all 13 atoms:
Tl 0.0000 0.0000 0.0000
Pb 0.3760 0.3760 0.3760
Pb 0.3760 0.3760 0.8719
Pb 0.3760 0.8719 0.3760
Pb 0.8719 0.3760 0.3760
F 0.1442 0.1442 0.1442
F 0.1442 0.1442 0.5673
F 0.1442 0.5673 0.1442
F 0.2089 0.5970 0.5970
F 0.5673 0.1442 0.1442
F 0.5970 0.2089 0.5970
F 0.5970 0.5970 0.2089
F 0.5970 0.5970 0.5970

Run b
# TlPb4F8

A relaxed structure of TlPb4F8 (PBE, Alexandria via LeMat-Bulk).

Values from the calculation:
As for the symmetry: Pm-3m.

Lattice parameters (Å, degrees): 6.2351 6.2351 6.2351 90.00 90.00 90.00
Fractional coordinates of all 13 atoms:
Tl 0.0000 0.0000 0.0000
Pb 0.0000 0.0000 0.5000
Pb 0.0000 0.5000 0.0000
Pb 0.5000 0.0000 0.0000
Pb 0.5000 0.5000 0.5000
F 0.2591 0.2591 0.2591
F 0.2591 0.2591 0.7409
F 0.2591 0.7409 0.2591
F 0.2591 0.7409 0.7409
F 0.7409 0.2591 0.2591
F 0.7409 0.2591 0.7409
F 0.7409 0.7409 0.2591
F 0.7409 0.7409 0.7409

Which of them is most stable, and which least? Most stable: run a; least stable: run b.

Run a
# TmPbF

A relaxed structure of TmPbF (PBE, Alexandria via LeMat-Bulk).

Values from the calculation:
As for the symmetry: P4_2/mmc.

Lattice parameters (Å, degrees): 8.9554 8.9554 5.9077 90.00 90.00 90.00
Fractional coordinates of all 12 atoms:
Tm 0.0000 0.3085 0.0000
Tm 0.0000 0.6915 0.0000
Tm 0.3085 0.0000 0.5000
Tm 0.6915 0.0000 0.5000
Pb 0.0000 0.1798 0.5000
Pb 0.0000 0.8202 0.5000
Pb 0.1798 0.0000 0.0000
Pb 0.8202 0.0000 0.0000
F 0.1449 0.5000 0.0000
F 0.5000 0.1449 0.5000
F 0.5000 0.8551 0.5000
F 0.8551 0.5000 0.0000

Run b
# TmPbF

A relaxed structure of TmPbF (PBE, Alexandria via LeMat-Bulk).

Values from the calculation:
As for the symmetry: P-6m2.

Lattice parameters (Å, degrees): 3.8238 3.8238 5.2774 90.00 90.00 120.00
Fractional coordinates of all 3 atoms:
Tm 0.0000 0.0000 0.0000
Pb 0.6667 0.3333 0.5000
F 0.3333 0.6667 0.0000

Which of them is most stable, and which least? Most stable: run b; least stable: run a.

Run a
# UPb2F8

A relaxed structure of UPb2F8 (PBE, Alexandria via LeMat-Bulk).

Values from the calculation:
As for the symmetry: Immm.

Lattice parameters (Å, degrees): 7.2196 7.2196 7.2196 147.99 125.26 64.84
Fractional coordinates of all 11 atoms:
U 0.0000 0.0000 0.0000
Pb 0.3373 0.3373 0.0000
Pb 0.6627 0.6627 0.0000
F 0.1088 0.6088 0.5000
F 0.1125 0.8613 0.2512
F 0.3123 0.5000 0.8123
F 0.3899 0.1387 0.2512
F 0.6101 0.8613 0.7488
F 0.6877 0.5000 0.1877
F 0.8875 0.1387 0.7488
F 0.8912 0.3912 0.5000

Run b
# UPb2F8

A relaxed structure of UPb2F8 (PBE, Alexandria via LeMat-Bulk).

Values from the calculation:
As for the symmetry: C2/m.

Lattice parameters (Å, degrees): 7.6800 7.6800 5.8989 109.48 109.48 31.20
Fractional coordinates of all 11 atoms:
U 0.0000 0.0000 0.0000
Pb 0.3192 0.3192 0.3284
Pb 0.6808 0.6808 0.6716
F 0.0880 0.0880 0.3892
F 0.1464 0.1464 0.9599
F 0.2787 0.2787 0.6856
F 0.4787 0.4787 0.1823
F 0.5213 0.5213 0.8177
F 0.7213 0.7213 0.3144
F 0.8536 0.8536 0.0401
F 0.9120 0.9120 0.6108

Which of them is most stable, and which least? Most stable: run b; least stable: run a.